## ZrZn11Co (PBE)

Data for a relaxed structure of ZrZn11Co.

Calculated values
DFT total energy = -31.21 eV/cell
magnetic moment = 0.2 μB per cell
energy relative to the elements = -1.5 eV per formula unit
SG = No. 12

Unit cell a=5.0875 b=6.6448 c=6.6967 alpha=81.42 beta=67.68 gamma=66.88
Last column: nearest neighbours and their distance in Å.
Atoms (fractional coordinates):
Zn (0.7046, 0.7851, 0.7910)  1 Co 2.51, 7 Zn 2.53-2.75
Zn (0.5043, 0.2149, 0.7910)  1 Co 2.51, 7 Zn 2.53-2.75
Zn (0.0000, 0.5000, 0.0000)  8 Zn 2.53-2.67, 2 Co 2.54
Zn (0.4957, 0.7851, 0.2090)  1 Co 2.51, 7 Zn 2.53-2.75
Zn (0.0000, 0.0000, 0.5000)  10 Zn 2.54-2.74
Zn (0.3670, 0.6445, 0.6604)  1 Co 2.56, 6 Zn 2.67-2.75
Zn (0.6330, 0.3555, 0.3396)  1 Co 2.56, 6 Zn 2.67-2.75
Zn (0.5000, 0.0000, 0.5000)  10 Zn 2.54-2.74
Zn (0.0273, 0.6445, 0.3396)  1 Co 2.56, 6 Zn 2.67-2.75
Zn (0.9727, 0.3555, 0.6604)  1 Co 2.56, 6 Zn 2.67-2.75
Zn (0.2954, 0.2149, 0.2090)  1 Co 2.51, 7 Zn 2.53-2.75
Co (0.5000, 0.5000, 0.0000)  10 Zn 2.51-2.56
Zr (0.0000, 0.0000, 0.0000)  18 Zn 3.03-3.35, 2 Co 3.30



## CeTm3Mg2 (PBE)

Data for a relaxed structure of CeTm3Mg2.

Calculated values
DFT total energy = -22.58 eV/cell
magnetic moment = 0.4 μB per cell
energy relative to the elements = 0.0 eV per formula unit
SG = No. 123

Unit cell a=3.5331 b=3.5331 c=13.2295 alpha=90.00 beta=90.00 gamma=90.00
Last column: nearest neighbours and their distance in Å.
Atoms (fractional coordinates):
Tm (0.0000, 0.0000, 0.0000)  8 Mg 3.27, 4 Tm 3.53
Tm (0.0000, 0.0000, 0.3213)  4 Mg 3.29, 4 Ce 3.44, 4 Tm 3.53
Tm (0.0000, 0.0000, 0.6787)  4 Mg 3.29, 4 Ce 3.44, 4 Tm 3.53
Mg (0.5000, 0.5000, 0.8405)  8 Tm 3.27-3.29, 4 Mg 3.53
Mg (0.5000, 0.5000, 0.1595)  8 Tm 3.27-3.29, 4 Mg 3.53
Ce (0.5000, 0.5000, 0.5000)  8 Tm 3.44, 4 Ce 3.53



## TlCu (PBE)

Data for a relaxed structure of TlCu.

Calculated values
DFT total energy = -11.91 eV/cell
magnetic moment = 0.0 μB per cell
energy relative to the elements = 0.5 eV per formula unit
SG = No. 2

Unit cell a=4.2268 b=4.2173 c=6.2265 alpha=111.00 beta=90.00 gamma=119.36
Last column: nearest neighbours and their distance in Å.
Atoms (fractional coordinates):
Cu (0.8301, 0.6624, 0.4938)  3 Cu 2.44-2.45
Cu (0.1699, 0.3376, 0.5062)  3 Cu 2.44-2.45
Tl (0.3969, 0.8002, 0.1974)  6 Cu 2.94-3.05
Tl (0.6031, 0.1998, 0.8026)  6 Cu 2.94-3.05



## Tm6ThMg2 (PBE)

Data for a relaxed structure of Tm6ThMg2.

Calculated values
DFT total energy = -36.52 eV/cell
magnetic moment = 0.0 μB per cell
energy relative to the elements = 0.9 eV per formula unit
SG = No. 187

Unit cell a=3.4748 b=3.4748 c=25.4937 alpha=90.00 beta=90.00 gamma=120.00
Last column: nearest neighbours and their distance in Å.
Atoms (fractional coordinates):
Th (0.3333, 0.6667, 0.0000)  6 Th 3.47, 6 Tm 3.55
Tm (0.3333, 0.6667, 0.5644)  7 Tm 3.28-3.47, 3 Mg 3.33
Tm (0.3333, 0.6667, 0.2241)  3 Mg 3.39, 9 Tm 3.43-3.47
Tm (0.3333, 0.6667, 0.7759)  3 Mg 3.39, 9 Tm 3.43-3.47
Tm (0.6667, 0.3333, 0.1148)  9 Tm 3.43-3.47, 3 Th 3.55
Tm (0.3333, 0.6667, 0.4356)  7 Tm 3.28-3.47, 3 Mg 3.33
Tm (0.6667, 0.3333, 0.8852)  9 Tm 3.43-3.47, 3 Th 3.55
Mg (0.6667, 0.3333, 0.3313)  6 Tm 3.33-3.39, 6 Mg 3.47
Mg (0.6667, 0.3333, 0.6687)  6 Tm 3.33-3.39, 6 Mg 3.47



## BiAsPbSe2 (PBE)

Data for a relaxed structure of BiAsPbSe2.

Calculated values
DFT total energy = -17.17 eV/cell
magnetic moment = 0.5 μB per cell
energy above the lowest structure with this stoichiometry = 0.000 eV per atom
SG = No. 123
formation energy from raw total energies = 0.408 eV/atom

Unit cell a=5.6251 b=5.6251 c=5.5085 alpha=90.00 beta=90.00 gamma=90.00
Last column: nearest neighbours and their distance in Å.
Atoms (fractional coordinates):
As (0.0000, 0.0000, 0.5000)  2 Bi 2.75
Se (0.5000, 0.0000, 0.0000)  2 Bi 2.81
Se (0.0000, 0.5000, 0.0000)  2 Bi 2.81
Bi (0.0000, 0.0000, 0.0000)  2 As 2.75, 4 Se 2.81
Pb (0.5000, 0.5000, 0.5000)  8 Se 3.94, 4 As 3.98



## CdSeCl2 (PBE)

Data for a relaxed structure of CdSeCl2.

Calculated values
DFT total energy = -9.37 eV/cell
magnetic moment = 0.0 μB per cell
energy above the lowest structure with this stoichiometry = 0.217 eV per atom
SG = No. 8
formation energy from raw total energies = -0.320 eV/atom

Unit cell a=8.3869 b=8.3869 c=4.9452 alpha=64.89 beta=64.89 gamma=24.19
Last column: nearest neighbours and their distance in Å.
Atoms (fractional coordinates):
Cl (0.0270, 0.0270, 0.9726)  1 Cd 2.71, 2 Se 2.83
Cl (0.7787, 0.7787, 0.8629)  2 Cd 2.52
Cd (0.1627, 0.1627, 0.1462)  3 Cl 2.52-2.71, 2 Se 2.77
Se (0.5315, 0.5315, 0.5184)  2 Cd 2.77, 2 Cl 2.83



## Y2Ho5In3 (PBE)

Data for a relaxed structure of Y2Ho5In3.

Calculated values
DFT total energy = -89.21 eV/cell
magnetic moment = 0.1 μB per cell
energy relative to the elements = -0.6 eV per formula unit
SG = No. 72

Unit cell a=6.5384 b=10.3629 c=10.3629 alpha=93.90 beta=71.61 gamma=71.61
Last column: nearest neighbours and their distance in Å.
Atoms (fractional coordinates):
Ho (0.7500, 0.5000, 0.5000)  4 Ho 3.24-3.27, 4 In 3.26
Ho (0.0773, 0.0826, 0.7627)  3 In 3.00-3.08
Ho (0.5773, 0.7627, 0.0826)  3 In 3.00-3.08
Ho (0.9227, 0.9174, 0.2373)  3 In 3.00-3.08
Ho (0.4227, 0.2373, 0.9174)  3 In 3.00-3.08
Ho (0.9917, 0.7583, 0.7583)  3 In 3.03-3.17, 3 Ho 3.24-3.27
Ho (0.0083, 0.2417, 0.2417)  3 In 3.03-3.17, 3 Ho 3.24-3.27
Ho (0.2500, 0.5000, 0.5000)  4 Ho 3.24-3.27, 4 In 3.26
Ho (0.5083, 0.2417, 0.2417)  3 In 3.03-3.17, 3 Ho 3.24-3.27
Ho (0.4917, 0.7583, 0.7583)  3 In 3.03-3.17, 3 Ho 3.24-3.27
In (0.7500, 0.0000, 0.0000)  6 Ho 3.03-3.08, 2 In 3.27
In (0.1368, 0.2149, 0.5114)  5 Ho 3.00-3.26
In (0.8632, 0.7851, 0.4886)  5 Ho 3.00-3.26
In (0.2500, 0.0000, 0.0000)  6 Ho 3.03-3.08, 2 In 3.27
In (0.6368, 0.5114, 0.2149)  5 Ho 3.00-3.26
In (0.3632, 0.4886, 0.7851)  5 Ho 3.00-3.26
Y (0.1478, 0.5527, 0.1517)  4 In 3.37-3.66, 4 Ho 3.50-3.72
Y (0.3522, 0.8483, 0.4473)  4 In 3.37-3.66, 4 Ho 3.50-3.72
Y (0.8522, 0.4473, 0.8483)  4 In 3.37-3.66, 4 Ho 3.50-3.72
Y (0.6478, 0.1517, 0.5527)  4 In 3.37-3.66, 4 Ho 3.50-3.72